1.
Compound: BaY2FeW
Source: Alexandria
Functional: PBE-GGA
Structure: relaxed

Total moment in μB per cell: 2.9
SG: P4/mmm, No. 123
DFT formation energy in eV/atom: 1.24

Cell and atoms, written as CIF:
```
data_BaY2FeW
_symmetry_space_group_name_H-M 'P 1'
_symmetry_Int_Tables_number 1
_symmetry_space_group_name_Hall 'P 1'
_cell_length_a 5.4324
_cell_length_b 5.8748
_cell_length_c 5.4324
_cell_angle_alpha 90.00
_cell_angle_beta 90.00
_cell_angle_gamma 90.00
loop_
_atom_site_label
_atom_site_fract_x
_atom_site_fract_y
_atom_site_fract_z
Y1 0.0000 0.0000 0.5000
Y2 0.5000 0.0000 0.0000
W1 0.0000 0.0000 0.0000
Ba1 0.0000 0.5000 0.0000
Fe1 0.5000 0.5000 0.5000
```

***

2.
Compound: PmGaRuN
Source: Alexandria
Functional: PBE-GGA
Structure: relaxed

Total moment in μB per cell: 1.2
Energy relative to the elements, uncorrected in eV per atom: -0.595
SG: P4/nmm, No. 129

Cell and atoms, written as CIF:
```
data_PmGaRuN
_symmetry_space_group_name_H-M 'P 1'
_symmetry_Int_Tables_number 1
_symmetry_space_group_name_Hall 'P 1'
_cell_length_a 3.7045
_cell_length_b 3.7045
_cell_length_c 9.7429
_cell_angle_alpha 90.00
_cell_angle_beta 90.00
_cell_angle_gamma 90.00
loop_
_atom_site_label
_atom_site_fract_x
_atom_site_fract_y
_atom_site_fract_z
Ru1 0.0000 0.5000 0.3169
Ru2 0.5000 0.0000 0.6831
Ga1 0.0000 0.0000 0.5000
Ga2 0.5000 0.5000 0.5000
N1 0.5000 0.0000 0.8876
N2 0.0000 0.5000 0.1124
Pm1 0.0000 0.5000 0.8687
Pm2 0.5000 0.0000 0.1313
```

***

3.
Compound: Cs2CdInCl6
Source: Alexandria
Functional: PBE-GGA
Structure: relaxed

Total moment in μB per cell: 0.0
Energy relative to the elements, uncorrected in eV per atom: -1.440
SG: I4/mmm, No. 139

Cell and atoms, written as CIF:
```
data_Cs2CdInCl6
_symmetry_space_group_name_H-M 'P 1'
_symmetry_Int_Tables_number 1
_symmetry_space_group_name_Hall 'P 1'
_cell_length_a 7.6267
_cell_length_b 7.6267
_cell_length_c 7.6390
_cell_angle_alpha 60.05
_cell_angle_beta 60.05
_cell_angle_gamma 90.00
loop_
_atom_site_label
_atom_site_fract_x
_atom_site_fract_y
_atom_site_fract_z
Cl1 0.7485 0.7485 0.0000
Cl2 0.7485 0.2515 0.0000
Cl3 0.7487 0.7487 0.5026
Cl4 0.2515 0.7485 0.0000
Cl5 0.2515 0.2515 0.0000
Cl6 0.2513 0.2513 0.4974
Cs1 0.7500 0.2500 0.5000
Cs2 0.2500 0.7500 0.5000
In1 0.0000 0.0000 0.0000
Cd1 0.5000 0.5000 0.0000
```

***

4.
Compound: SrZrAlIr2
Source: Alexandria
Functional: PBE-GGA
Structure: relaxed

Total moment in μB per cell: 0.0
Energy above the most stable polymorph in this dataset in meV/atom: 0.0
SG: I-4m2, No. 119
DFT formation energy in eV/atom: -0.70

Cell and atoms, written as CIF:
```
data_SrZrAlIr2
_symmetry_space_group_name_H-M 'P 1'
_symmetry_Int_Tables_number 1
_symmetry_space_group_name_Hall 'P 1'
_cell_length_a 4.3188
_cell_length_b 4.3188
_cell_length_c 6.4866
_cell_angle_alpha 109.44
_cell_angle_beta 109.44
_cell_angle_gamma 90.00
loop_
_atom_site_label
_atom_site_fract_x
_atom_site_fract_y
_atom_site_fract_z
Zr1 0.2500 0.7500 0.5000
Sr1 0.0000 0.0000 0.0000
Ir1 0.6148 0.6148 0.2296
Ir2 0.3852 0.3852 0.7704
Al1 0.7500 0.2500 0.5000
```